Entry from Alexandria: AlTl2Cd after structural relaxation (GGA-PBEsol).

abc: 3.2748 3.2748 8.9004
angles: 90.00 90.00 90.00
Closest atoms and distances in Å follow each position.
Sites, in units of the cell vectors:
Al 0.0000 0.0000 0.0000  4 Cd 2.91, 4 Tl 3.14
Tl 0.0000 0.0000 0.4592  8 Tl 3.27-3.55, 4 Cd 3.28
Tl 0.5000 0.5000 0.7619  4 Al 3.14, 4 Tl 3.27
Cd 0.5000 0.5000 0.1983  4 Al 2.91

Entry from Alexandria: Tl2FeAgC after structural relaxation (GGA-PBEsol).

abc: 5.0930 5.0930 3.5801
angles: 90.00 90.00 90.00
Closest atoms and distances in Å follow each position.
Sites, in units of the cell vectors:
Tl 0.0000 0.5000 0.0000  2 Fe 2.55
Tl 0.5000 0.0000 0.0000  2 Fe 2.55
Fe 0.0000 0.0000 0.0000  2 C 1.79
Ag 0.5000 0.5000 0.5000  8 Tl 3.11
C 0.0000 0.0000 0.5000  2 Fe 1.79

Entry from Alexandria: EuP2Ir2 after structural relaxation (GGA-PBEsol).

abc: 6.6346 6.6346 7.0350
angles: 90.00 90.00 120.00
Closest atoms and distances in Å follow each position.
Sites, in units of the cell vectors:
Eu 0.0000 0.6041 0.3333  6 P 3.00-3.15, 5 Ir 3.13-3.32
Eu 0.3959 0.3959 0.0000  6 P 3.00-3.15, 5 Ir 3.13-3.32
Eu 0.6041 0.0000 0.6667  6 P 3.00-3.15, 5 Ir 3.13-3.32
P 0.1145 0.3397 0.6239  4 Ir 2.24-2.37
P 0.2252 0.8855 0.9572  4 Ir 2.24-2.37
P 0.3397 0.1145 0.3761  4 Ir 2.24-2.37
P 0.6603 0.7748 0.2906  4 Ir 2.24-2.37
P 0.7748 0.6603 0.7094  4 Ir 2.24-2.37
P 0.8855 0.2252 0.0428  4 Ir 2.24-2.37
Ir 0.0000 0.1317 0.3333  4 P 2.33-2.37
Ir 0.0000 0.5176 0.8333  4 P 2.24-2.30
Ir 0.1317 0.0000 0.6667  4 P 2.33-2.37
Ir 0.4824 0.4824 0.5000  4 P 2.24-2.30
Ir 0.5176 0.0000 0.1667  4 P 2.24-2.30
Ir 0.8683 0.8683 0.0000  4 P 2.33-2.37

| no. | N(E_F) (states/eV/cell) | formation energy (eV per formula unit) |
| --- | --- | --- |
| 1 | 1.59 | 0.50 |
| 2 | 3.40 | 3.66 |
| 3 | 17.67 | -4.87 |